A relaxed KCd6Sb4 crystal. Source: Alexandria via LeMat-Bulk, functional PBE.

Results
space group: C2/m, No. 12
DOS at the Fermi energy: 2.38 states/eV per cell
ΔE_f (raw): -1.2 eV/f.u.

Cell and atoms, written as POSCAR:
```
KCd6Sb4
1.0
-3.917 2.767 -1.368
-2.982 -3.964 0.521
1.260 4.059 13.697
Cd Sb K
6 4 1
Cartesian
-2.507 2.264 2.670
-3.051 3.117 5.953
-2.588 -0.255 6.897
-3.598 3.965 9.236
-3.132 0.598 10.180
-2.041 -1.103 3.615
-4.801 1.533 7.761
-0.838 1.329 5.089
-1.893 2.964 11.420
-3.746 -0.102 1.430
0.000 0.000 0.000
```